# CrReO3

A relaxed structure of CrReO3 (PBE+U, the Alexandria database).

Results
- DFT total energy (eV per formula unit) = -33.0
- magnetization (Bohr magnetons per cell) = 0.00

a b c (Å): 3.6927 3.6927 3.6927
angles (deg): 90.00 90.00 90.00
Last column: nearest neighbours and their distance in Å.
Space group Pm-3m (No. 221)
One atom of each set of equivalent atoms:
Cr (0.0000, 0.0000, 0.0000) x1  6 O 1.85
Re (0.5000, 0.5000, 0.5000) x1  12 O 2.61
O (0.0000, 0.0000, 0.5000) x3  2 Cr 1.85